1.
The following is a GGA-PBE calculation of CaBiC3 after structural relaxation, from the Alexandria database.

Output
Magnetization: 0.000 μB/atom
Offset from the most stable computed form: 0.451 eV per atom
Space-group type: Pm-3m
Energy of formation from the pure elements: 1413 kJ/mol of formula units

a b c (Å): 4.4505 4.4505 4.4505
angles (deg): 90.00 90.00 90.00
Closest atoms and distances in Å follow each position.
Atoms (fractional coordinates):
Ca 0.0000 0.0000 0.0000  6 C 2.23
Bi 0.5000 0.5000 0.5000  12 C 3.15
C 0.0000 0.0000 0.5000  2 Ca 2.23
C 0.0000 0.5000 0.0000  2 Ca 2.23
C 0.5000 0.0000 0.0000  2 Ca 2.23

2.
The following is a GGA-PBE calculation of Li15Mg2In2 after structural relaxation, from the Alexandria database.

Output
Magnetization: 0.000 μB/atom
Space-group type: R-3m
Energy of formation from the pure elements: -65 kJ/mol of formula units

a b c (Å): 7.2884 7.2884 7.2884
angles (deg): 79.40 79.40 79.40
Closest atoms and distances in Å follow each position.
Atoms (fractional coordinates):
Li 0.0000 0.0000 0.5000  8 Li 2.78-2.82, 2 In 2.82
Li 0.0000 0.2824 0.7176  6 Li 2.63-2.82
Li 0.0000 0.5000 0.0000  8 Li 2.78-2.82, 2 In 2.82
Li 0.0000 0.7176 0.2824  6 Li 2.63-2.82
Li 0.1381 0.6256 0.6256  6 Li 2.78-2.84, 1 In 3.09
Li 0.2824 0.0000 0.7176  6 Li 2.63-2.82
Li 0.2824 0.7176 0.0000  6 Li 2.63-2.82
Li 0.3744 0.3744 0.8619  6 Li 2.78-2.84, 1 In 3.09
Li 0.3744 0.8619 0.3744  6 Li 2.78-2.84, 1 In 3.09
Li 0.5000 0.0000 0.0000  8 Li 2.78-2.82, 2 In 2.82
Li 0.6256 0.1381 0.6256  6 Li 2.78-2.84, 1 In 3.09
Li 0.6256 0.6256 0.1381  6 Li 2.78-2.84, 1 In 3.09
Li 0.7176 0.0000 0.2824  6 Li 2.63-2.82
Li 0.7176 0.2824 0.0000  6 Li 2.63-2.82
Li 0.8619 0.3744 0.3744  6 Li 2.78-2.84, 1 In 3.09
Mg 0.3288 0.3288 0.3288  1 In 3.25, 15 Li 3.29-3.60
Mg 0.6712 0.6712 0.6712  1 In 3.25, 15 Li 3.29-3.60
In 0.1086 0.1086 0.1086  12 Li 2.82-3.09
In 0.8914 0.8914 0.8914  12 Li 2.82-3.09

The lowest energy of formation from the pure elements belongs to which entry? Li15Mg2In2

Which value of energy of formation from the pure elements does entry 1 give? 1413 kJ/mol of formula units

Which value of energy of formation from the pure elements does entry 1 give? 1413 kJ/mol of formula units